# 1
Compound: Ta4Mo3
Source: the Alexandria database
Functional: PBE-GGA
Structure: optimized geometry

Lattice parameters (Å, degrees): 5.1761 5.1761 5.3323 90.00 90.00 120.00
Last column: nearest neighbours and their distance in Å.
Sites, in units of the cell vectors:
Ta  0.0000  0.0000  0.2438  2 Ta 2.60-2.73
Ta  0.0000  0.0000  0.7562  2 Ta 2.60-2.73
Ta  0.3333  0.6667  0.0000  9 Ta 2.99-3.26, 6 Mo 3.06
Ta  0.6667  0.3333  0.0000  9 Ta 2.99-3.26, 6 Mo 3.06
Mo  0.0000  0.5000  0.5000  4 Mo 2.59
Mo  0.5000  0.0000  0.5000  4 Mo 2.59
Mo  0.5000  0.5000  0.5000  4 Mo 2.59

For the uncorrected energy, the calculation gives -80.02 eV per cell. For the total magnetization, the calculation gives 0.00 μB per cell. The value obtained for the formation enthalpy at 0 K is -0.017 eV/atom. As for the energy above the most stable polymorph in this dataset: 1.138 eV per formula unit.

=====

# 2
Compound: LiNiSb2
Source: the Alexandria database
Functional: PBE-GGA
Structure: optimized geometry

Lattice parameters (Å, degrees): 3.1964 3.1964 7.7020 90.00 90.00 90.00
Last column: nearest neighbours and their distance in Å.
Sites, in units of the cell vectors:
Li  0.0000  0.0000  0.0000  4 Ni 2.62, 5 Sb 2.75-2.82
Ni  0.5000  0.5000  0.1708  4 Li 2.62, 4 Sb 2.68
Sb  0.0000  0.0000  0.3569  4 Ni 2.68, 1 Li 2.75
Sb  0.5000  0.5000  0.7821  4 Li 2.82, 1 Ni 2.99

For the uncorrected energy, the calculation gives -16.45 eV per cell. For the total magnetization, the calculation gives 0.00 μB per cell. As for the energy above the most stable polymorph in this dataset: 0.593 eV per formula unit. As for the energy relative to the elements, uncorrected: -12.4 kJ/mol of atoms.

=====

# 3
Compound: NaCd3Hg7
Source: the Alexandria database
Functional: PBE-GGA
Structure: optimized geometry

Lattice parameters (Å, degrees): 6.7953 6.7953 6.4725 95.41 95.41 91.93
Last column: nearest neighbours and their distance in Å.
Sites, in units of the cell vectors:
Na  0.0000  0.0000  0.0000  8 Hg 3.13-3.49
Cd  0.2979  0.7021  0.5000  7 Hg 2.91-3.15
Cd  0.5000  0.5000  0.0000  6 Hg 3.00-3.11
Cd  0.7021  0.2979  0.5000  7 Hg 2.91-3.15
Hg  0.0000  0.0000  0.5000  2 Cd 2.91, 2 Hg 3.05, 2 Na 3.24
Hg  0.0866  0.4468  0.7909  3 Cd 3.00-3.15, 2 Hg 3.09-3.22
Hg  0.2809  0.2809  0.3175  3 Cd 2.99-3.11, 3 Hg 3.05-3.22, 1 Na 3.13
Hg  0.4468  0.0866  0.7909  3 Cd 3.00-3.15, 2 Hg 3.09-3.22
Hg  0.5532  0.9134  0.2091  3 Cd 3.00-3.15, 2 Hg 3.09-3.22
Hg  0.7191  0.7191  0.6825  3 Cd 2.99-3.11, 3 Hg 3.05-3.22, 1 Na 3.13
Hg  0.9134  0.5532  0.2091  3 Cd 3.00-3.15, 2 Hg 3.09-3.22

For the uncorrected energy, the calculation gives -6.46 eV per cell. For the total magnetization, the calculation gives 0.00 μB per cell. The value obtained for the formation enthalpy at 0 K is -0.026 eV/atom. As for the energy above the most stable polymorph in this dataset: 0.000 eV per formula unit.

=====

- Among the records above, which one has the lowest uncorrected energy?
  Ta4Mo3

=====

- Number 1 is which compound?
  Ta4Mo3

=====

- Which of these has the lowest uncorrected energy?
  Ta4Mo3

=====

- Among the records above, which one has the lowest uncorrected energy?
  Ta4Mo3